Density functional theory data (PBE with a Hubbard U) for a geometry-optimized Fe4O7F structure.

a b c (Å): 7.560 7.560 6.671
angles (deg): 115.92 115.92 50.38
Element x y z (fractional)
Fe: 0.000 0.000 0.000
Fe: 0.124 0.124 0.622
Fe: 0.244 0.244 0.237
Fe: 0.375 0.375 0.900
Fe: 0.500 0.500 0.500
Fe: 0.625 0.625 0.100
Fe: 0.756 0.756 0.763
Fe: 0.876 0.876 0.378
O: 0.058 0.442 0.754
O: 0.118 0.118 0.925
O: 0.122 0.122 0.311
O: 0.197 0.803 0.500
O: 0.312 0.688 0.000
O: 0.375 0.375 0.196
O: 0.442 0.058 0.754
O: 0.558 0.942 0.246
O: 0.625 0.625 0.804
O: 0.688 0.312 0.000
O: 0.803 0.197 0.500
O: 0.878 0.878 0.689
O: 0.882 0.882 0.075
O: 0.942 0.558 0.246
F: 0.371 0.371 0.575
F: 0.629 0.629 0.425

Calculated values
theoretical density = 4.58 g/cm3
E = -147.3 eV per cell